[1]
The following is a PBEsol calculation of a relaxed TbCo3B2 crystal, from Alexandria via LeMat-Bulk.

## Properties
Spin magnetization, Bohr magnetons per cell: 0.00
Energy of formation from the pure elements, eV per atom: -0.560
Density, kg/m3: 9397
Calculated total energy, eV/cell: -45.6

```
data_TbCo3B2
_space_group_name_H-M_alt 'P 6/m m m'
_space_group_IT_number 191
_space_group_name_Hall '-P 6 2'
_cell_length_a 4.9464
_cell_length_b 4.9464
_cell_length_c 2.9802
_cell_angle_alpha 90.00
_cell_angle_beta 90.00
_cell_angle_gamma 120.00
loop_
_atom_site_label
_atom_site_type_symbol
_atom_site_fract_x
_atom_site_fract_y
_atom_site_fract_z
Tb1 Tb 0.0000 0.0000 0.0000
Co1 Co 0.0000 0.5000 0.5000
B1 B 0.3333 0.6667 0.0000
```

[2]
The following is a PBEsol calculation of a relaxed Ti2Co21B6 crystal, from Alexandria via LeMat-Bulk.

## Properties
Spin magnetization, Bohr magnetons per cell: 73.74
Energy of formation from the pure elements, eV per atom: -0.341
Density, kg/m3: 8480
Calculated total energy, eV/cell: -924.4

```
data_Ti2Co21B6
_space_group_name_H-M_alt 'F m -3 m'
_space_group_IT_number 225
_space_group_name_Hall '-F 4 2 3'
_cell_length_a 10.308
_cell_length_b 10.308
_cell_length_c 10.308
_cell_angle_alpha 90.00
_cell_angle_beta 90.00
_cell_angle_gamma 90.00
loop_
_atom_site_label
_atom_site_type_symbol
_atom_site_fract_x
_atom_site_fract_y
_atom_site_fract_z
Ti1 Ti 0.250 0.250 0.250
Co1 Co 0.000 0.000 0.000
Co2 Co 0.000 0.169 0.169
Co3 Co 0.118 0.118 0.382
B1 B 0.000 0.000 0.275
```

[3]
The following is a PBEsol calculation of a relaxed Ti2CoB crystal, from Alexandria via LeMat-Bulk.

## Properties
Spin magnetization, Bohr magnetons per cell: 3.61
Energy of formation from the pure elements, eV per atom: 0.063
Density, kg/m3: 4932
Calculated total energy, eV/cell: -124.6

```
data_Ti2CoB
_space_group_name_H-M_alt 'I -4 2 d'
_space_group_IT_number 122
_space_group_name_Hall 'I -4 2bw'
_cell_length_a 7.742
_cell_length_b 7.742
_cell_length_c 3.719
_cell_angle_alpha 90.00
_cell_angle_beta 90.00
_cell_angle_gamma 90.00
loop_
_atom_site_label
_atom_site_type_symbol
_atom_site_fract_x
_atom_site_fract_y
_atom_site_fract_z
Ti1 Ti 0.106 0.750 0.125
Co1 Co 0.000 0.000 0.500
B1 B 0.000 0.000 0.000
```

[4]
The following is a PBEsol calculation of a relaxed YTiCo2B crystal, from Alexandria via LeMat-Bulk.

## Properties
Spin magnetization, Bohr magnetons per cell: 0.72
Energy of formation from the pure elements, eV per atom: 0.210
Density, kg/m3: 6352
Calculated total energy, eV/cell: -36.6

```
data_YTiCo2B
_space_group_name_H-M_alt 'P 4/m m m'
_space_group_IT_number 123
_space_group_name_Hall '-P 4 2'
_cell_length_a 3.868
_cell_length_b 3.868
_cell_length_c 4.639
_cell_angle_alpha 90.00
_cell_angle_beta 90.00
_cell_angle_gamma 90.00
loop_
_atom_site_label
_atom_site_type_symbol
_atom_site_fract_x
_atom_site_fract_y
_atom_site_fract_z
Y1 Y 0.000 0.000 0.000
Ti1 Ti 0.500 0.500 0.000
Co1 Co 0.000 0.500 0.500
B1 B 0.000 0.000 0.500
```